! PBE-GGA Rb3Hg2Pd, relaxed; values from VASP
&SYSTEM
  ibrav = 0, nat = 24, ntyp = 3
/
ATOMIC_SPECIES
Hg 200.59 Hg.upf
Rb 85.47 Rb.upf
Pd 106.42 Pd.upf
CELL_PARAMETERS angstrom
-3.511 -0.163 -3.338
-8.785 -6.698 9.565
-4.796 12.611 4.427
ATOMIC_POSITIONS crystal
Hg 0.750 0.971 0.710
Hg 0.250 0.814 0.958
Rb 0.250 0.450 0.392
Rb 0.750 0.283 0.790
Hg 0.750 0.529 0.210
Rb 0.750 0.550 0.608
Hg 0.250 0.029 0.290
Rb 0.250 0.717 0.210
Rb 0.750 0.217 0.290
Hg 0.750 0.186 0.042
Hg 0.250 0.686 0.458
Pd 0.750 0.636 0.372
Rb 0.750 0.950 0.108
Rb 0.750 0.623 0.941
Pd 0.250 0.136 0.128
Rb 0.250 0.377 0.059
Hg 0.750 0.314 0.542
Rb 0.250 0.050 0.892
Rb 0.250 0.123 0.559
Pd 0.750 0.864 0.872
Hg 0.250 0.471 0.790
Rb 0.750 0.877 0.441
Rb 0.250 0.783 0.710
Pd 0.250 0.364 0.628
! Energy   -0.1195 Ry/atom
! Calculated volume   251.5 Å³/f.u.
! Space group   Pnma

=====

! PBE-GGA Rb6HgPd, relaxed; values from VASP
&SYSTEM
  ibrav = 0, nat = 8, ntyp = 3
/
ATOMIC_SPECIES
Rb 85.47 Rb.upf
Hg 200.59 Hg.upf
Pd 106.42 Pd.upf
CELL_PARAMETERS angstrom
4.757 0.000 0.000
0.000 10.397 -0.956
0.000 0.201 10.438
ATOMIC_POSITIONS crystal
Rb 0.000 0.223 0.491
Hg 0.000 0.149 0.851
Rb 0.000 0.509 0.777
Rb 0.000 0.668 0.332
Rb 0.500 0.340 0.077
Rb 0.500 0.923 0.660
Rb 0.500 0.945 0.055
Pd 0.500 0.242 0.758
! Energy   -0.1070 Ry/atom
! Calculated volume   517.1 Å³/f.u.
! Space group   Amm2

=====

! PBE-GGA RbHgPd, relaxed; values from VASP
&SYSTEM
  ibrav = 0, nat = 3, ntyp = 3
/
ATOMIC_SPECIES
Rb 85.47 Rb.upf
Pd 106.42 Pd.upf
Hg 200.59 Hg.upf
CELL_PARAMETERS angstrom
5.146 0.000 0.000
0.000 4.713 0.000
0.000 -2.357 4.082
ATOMIC_POSITIONS crystal
Rb 0.667 0.667 0.333
Pd 0.167 0.333 0.667
Hg 0.167 0.000 0.000
! Energy   -0.1662 Ry/atom
! Calculated volume   99.0 Å³/f.u.
! Space group   P-6m2
! Offset from the most stable computed form   0.055 eV per atom

=====

Result set for formation enthalpy at 0 K: -176; -44; -107 meV/atom, one per record in the order listed.